Computed, not measured: an optimized crystal structure of InFe2Co at the PBE-GGA level of DFT.

Values from the calculation:
* formation energy from the elements: 0.27 eV/atom
* SG: No. 65
* density of states at the Fermi level: 0.901 states/eV per atom

CIF file:
```
data_InFe2Co
_chemical_formula_sum 'In1 Fe2 Co1'
_symmetry_space_group_name_H-M 'P 1'
_symmetry_Int_Tables_number 1
_cell_length_a 4.532
_cell_length_b 4.532
_cell_length_c 2.848
_cell_angle_alpha 90.00
_cell_angle_beta 90.00
_cell_angle_gamma 107.76
loop_
_symmetry_equiv_pos_as_xyz
'x,y,z'
loop_
_atom_site_label
_atom_site_fract_x
_atom_site_fract_y
_atom_site_fract_z
_atom_site_occupancy
Co1 0.000 0.500 0.500 1
Fe1 0.000 0.000 0.000 1
Fe2 0.500 0.500 0.000 1
In1 0.500 0.000 0.500 1
```

Computed, not measured: an optimized crystal structure of InFeCo2 at the PBE-GGA level of DFT.

Values from the calculation:
* formation energy from the elements: 0.24 eV/atom
* SG: No. 216
* density of states at the Fermi level: 1.478 states/eV per atom

CIF file:
```
data_InFeCo2
_chemical_formula_sum 'In1 Fe1 Co2'
_symmetry_space_group_name_H-M 'P 1'
_symmetry_Int_Tables_number 1
_cell_length_a 4.234
_cell_length_b 4.234
_cell_length_c 4.234
_cell_angle_alpha 60.00
_cell_angle_beta 60.00
_cell_angle_gamma 60.00
loop_
_symmetry_equiv_pos_as_xyz
'x,y,z'
loop_
_atom_site_label
_atom_site_fract_x
_atom_site_fract_y
_atom_site_fract_z
_atom_site_occupancy
Co1 0.000 0.000 0.000 1
Co2 0.250 0.250 0.250 1
Fe1 0.500 0.500 0.500 1
In1 0.750 0.750 0.750 1
```

Computed, not measured: an optimized crystal structure of InFe2Co at the PBE-GGA level of DFT.

Values from the calculation:
* formation energy from the elements: 0.39 eV/atom
* SG: No. 166
* density of states at the Fermi level: 1.207 states/eV per atom

CIF file:
```
data_InFe2Co
_chemical_formula_sum 'In1 Fe2 Co1'
_symmetry_space_group_name_H-M 'P 1'
_symmetry_Int_Tables_number 1
_cell_length_a 8.364
_cell_length_b 8.364
_cell_length_c 8.364
_cell_angle_alpha 19.71
_cell_angle_beta 19.71
_cell_angle_gamma 19.71
loop_
_symmetry_equiv_pos_as_xyz
'x,y,z'
loop_
_atom_site_label
_atom_site_fract_x
_atom_site_fract_y
_atom_site_fract_z
_atom_site_occupancy
Co1 0.250 0.250 0.250 1
Fe1 0.990 0.990 0.990 1
Fe2 0.510 0.510 0.510 1
In1 0.750 0.750 0.750 1
```

Computed, not measured: an optimized crystal structure of In2FeCo at the PBE-GGA level of DFT.

Values from the calculation:
* formation energy from the elements: 0.39 eV/atom
* SG: No. 166
* density of states at the Fermi level: 0.924 states/eV per atom

CIF file:
```
data_In2FeCo
_chemical_formula_sum 'In2 Fe1 Co1'
_symmetry_space_group_name_H-M 'P 1'
_symmetry_Int_Tables_number 1
_cell_length_a 8.628
_cell_length_b 8.628
_cell_length_c 8.628
_cell_angle_alpha 20.17
_cell_angle_beta 20.17
_cell_angle_gamma 20.17
loop_
_symmetry_equiv_pos_as_xyz
'x,y,z'
loop_
_atom_site_label
_atom_site_fract_x
_atom_site_fract_y
_atom_site_fract_z
_atom_site_occupancy
Co1 0.250 0.250 0.250 1
Fe1 0.750 0.750 0.750 1
In1 0.997 0.997 0.997 1
In2 0.503 0.503 0.503 1
```

Computed, not measured: an optimized crystal structure of In2FeCo at the PBE-GGA level of DFT.

Values from the calculation:
* formation energy from the elements: 0.24 eV/atom
* SG: No. 123
* density of states at the Fermi level: 0.909 states/eV per atom

CIF file:
```
data_In2FeCo
_chemical_formula_sum 'In2 Fe1 Co1'
_symmetry_space_group_name_H-M 'P 1'
_symmetry_Int_Tables_number 1
_cell_length_a 3.078
_cell_length_b 3.078
_cell_length_c 6.715
_cell_angle_alpha 90.00
_cell_angle_beta 90.00
_cell_angle_gamma 90.02
loop_
_symmetry_equiv_pos_as_xyz
'x,y,z'
loop_
_atom_site_label
_atom_site_fract_x
_atom_site_fract_y
_atom_site_fract_z
_atom_site_occupancy
Co1 0.500 0.500 0.250 1
Fe1 0.500 0.500 0.750 1
In1 0.000 0.000 0.012 1
In2 0.000 0.000 0.488 1
```

Computed, not measured: an optimized crystal structure of In2FeCo at the PBE-GGA level of DFT.

Values from the calculation:
* formation energy from the elements: 0.19 eV/atom
* SG: No. 99
* density of states at the Fermi level: 0.818 states/eV per atom

CIF file:
```
data_In2FeCo
_chemical_formula_sum 'In2 Fe1 Co1'
_symmetry_space_group_name_H-M 'P 1'
_symmetry_Int_Tables_number 1
_cell_length_a 3.023
_cell_length_b 3.023
_cell_length_c 7.681
_cell_angle_alpha 90.00
_cell_angle_beta 90.00
_cell_angle_gamma 90.00
loop_
_symmetry_equiv_pos_as_xyz
'x,y,z'
loop_
_atom_site_label
_atom_site_fract_x
_atom_site_fract_y
_atom_site_fract_z
_atom_site_occupancy
Co1 0.000 0.000 0.545 1
Fe1 0.500 0.500 0.701 1
In1 0.000 0.000 0.942 1
In2 0.500 0.500 0.311 1
```

Computed, not measured: an optimized crystal structure of InFeCo2 at the PBE-GGA level of DFT.

Values from the calculation:
* formation energy from the elements: 0.19 eV/atom
* SG: No. 25
* density of states at the Fermi level: 1.147 states/eV per atom

CIF file:
```
data_InFeCo2
_chemical_formula_sum 'In1 Fe1 Co2'
_symmetry_space_group_name_H-M 'P 1'
_symmetry_Int_Tables_number 1
_cell_length_a 2.818
_cell_length_b 3.437
_cell_length_c 5.666
_cell_angle_alpha 90.00
_cell_angle_beta 90.00
_cell_angle_gamma 90.00
loop_
_symmetry_equiv_pos_as_xyz
'x,y,z'
loop_
_atom_site_label
_atom_site_fract_x
_atom_site_fract_y
_atom_site_fract_z
_atom_site_occupancy
Co1 0.000 0.000 0.040 1
Co2 0.500 0.500 0.252 1
Fe1 0.000 0.000 0.451 1
In1 0.500 0.500 0.756 1
```

Computed, not measured: an optimized crystal structure of InFeCoIr at the PBE-GGA level of DFT.

Values from the calculation:
* formation energy from the elements: 0.05 eV/atom
* SG: No. 216
* density of states at the Fermi level: 0.462 states/eV per atom

CIF file:
```
data_InFeCoIr
_chemical_formula_sum 'In1 Fe1 Co1 Ir1'
_symmetry_space_group_name_H-M 'P 1'
_symmetry_Int_Tables_number 1
_cell_length_a 4.365
_cell_length_b 4.365
_cell_length_c 4.365
_cell_angle_alpha 60.00
_cell_angle_beta 60.00
_cell_angle_gamma 60.00
loop_
_symmetry_equiv_pos_as_xyz
'x,y,z'
loop_
_atom_site_label
_atom_site_fract_x
_atom_site_fract_y
_atom_site_fract_z
_atom_site_occupancy
Ir1 0.250 0.250 0.250 1
Co1 0.750 0.750 0.750 1
Fe1 0.500 0.500 0.500 1
In1 0.000 0.000 0.000 1
```